Density functional theory data (PBE) for VCSCl2 after structural relaxation.

a = 4.741 Å, b = 4.741 Å, c = 4.574 Å
α = 90.00°, β = 90.00°, γ = 90.00°
Element x y z (fractional)
V1 0.000 0.000 0.000
C1 0.500 0.500 0.500
S1 0.000 0.000 0.500
Cl1 0.000 0.500 0.000
Cl2 0.500 0.000 0.000

- Magnetic moment: 0.60 μB/atom
- N(E_F): 3.68 states/eV/f.u.
- Formation energy without anion corrections: 4.478 eV/f.u.